Entry 1:
InHg4Mo: optimized geometry, PBE.

Unit cell a=5.9136 b=5.9136 c=5.9136 alpha=60.00 beta=60.00 gamma=60.00
Closest atoms and distances in Å follow each position.
Element x y z (fractional)
Hg (0.3746, 0.3746, 0.3746)  6 Hg 2.95-2.97
Hg (0.8762, 0.3746, 0.3746)  6 Hg 2.95-2.97
Hg (0.3746, 0.3746, 0.8762)  6 Hg 2.95-2.97
Hg (0.3746, 0.8762, 0.3746)  6 Hg 2.95-2.97
Mo (0.0000, 0.0000, 0.0000)  12 Hg 3.47, 4 In 3.62
In (0.7500, 0.7500, 0.7500)  12 Hg 3.47, 4 Mo 3.62

Output
N(E_F)	2.6	states/eV/f.u.
energy relative to the elements	0.68	eV/atom

=====

Entry 2:
InHg2Mo: optimized geometry, PBE.

Unit cell a=2.9664 b=2.9664 c=9.7261 alpha=90.00 beta=90.00 gamma=89.95
Closest atoms and distances in Å follow each position.
Element x y z (fractional)
Hg (0.5000, 0.5000, 0.2495)  4 Hg 2.97
Hg (0.0000, 0.0000, 0.9687)  4 Hg 2.97, 4 Mo 2.98
Mo (0.5000, 0.5000, 0.7506)  4 Mo 2.97, 4 Hg 2.98, 4 In 2.99
In (0.0000, 0.0000, 0.5312)  4 In 2.97, 4 Mo 2.99

Output
N(E_F)	3.2	states/eV/f.u.
energy relative to the elements	0.44	eV/atom

=====

Entry 3:
InHgMo2: optimized geometry, PBE.

Unit cell a=7.5804 b=7.5804 c=6.0383 alpha=51.12 beta=51.12 gamma=90.00
Closest atoms and distances in Å follow each position.
Element x y z (fractional)
In (0.5000, 0.5000, 0.0000)  4 Mo 2.76, 2 Hg 2.78
In (0.2500, 0.7500, 0.5000)  4 Mo 2.76, 2 Hg 2.78
Mo (0.1259, 0.6250, 0.2500)  2 In 2.76, 2 Hg 2.77, 2 Mo 2.78
Mo (0.3750, 0.3759, 0.7500)  2 In 2.76, 2 Hg 2.77, 2 Mo 2.78
Mo (0.6241, 0.1250, 0.2500)  2 In 2.76, 2 Hg 2.77, 2 Mo 2.78
Mo (0.8750, 0.8741, 0.7500)  2 In 2.76, 2 Hg 2.77, 2 Mo 2.78
Hg (0.0000, 0.0000, 0.0000)  4 Mo 2.77, 2 In 2.78
Hg (0.7500, 0.2500, 0.5000)  4 Mo 2.77, 2 In 2.78

Output
N(E_F)	4.3	states/eV/f.u.
energy relative to the elements	1.04	eV/atom
offset from the most stable computed form	715	meV/atom

=====

Entry 4:
InHgMo2: optimized geometry, PBE.

Unit cell a=9.6108 b=9.6108 c=9.6108 alpha=18.94 beta=18.94 gamma=18.94
Closest atoms and distances in Å follow each position.
Element x y z (fractional)
In (0.7430, 0.7430, 0.7430)  3 Mo 3.08, 6 In 3.16, 3 Hg 3.30
Mo (0.9886, 0.9886, 0.9886)  3 Mo 2.50
Mo (0.2617, 0.2617, 0.2617)  3 Mo 2.50
Hg (0.5068, 0.5068, 0.5068)  3 Mo 3.09, 6 Hg 3.16, 3 In 3.30

Output
N(E_F)	2.5	states/eV/f.u.
energy relative to the elements	0.36	eV/atom
offset from the most stable computed form	38	meV/atom

=====

Entry 5:
NbInHgMo2: optimized geometry, PBE.

Unit cell a=5.0887 b=4.9213 c=5.0887 alpha=90.00 beta=90.00 gamma=90.00
Closest atoms and distances in Å follow each position.
Element x y z (fractional)
In (0.0000, 0.5000, 0.0000)  2 Hg 2.46
Hg (0.0000, 0.0000, 0.0000)  2 In 2.46, 4 Mo 2.54
Nb (0.5000, 0.5000, 0.5000)  8 Mo 3.54, 4 In 3.60
Mo (0.5000, 0.0000, 0.0000)  2 Hg 2.54
Mo (0.0000, 0.0000, 0.5000)  2 Hg 2.54

Output
N(E_F)	5.2	states/eV/f.u.
energy relative to the elements	2.19	eV/atom